Entry 1:
Pm3Rh: optimized geometry, GGA-PBE.

a = 8.3743 Å, b = 8.3743 Å, c = 8.3743 Å
α = 152.21°, β = 152.21°, γ = 39.70°
Closest atoms and distances in Å follow each position.
Fractional positions:
Pm 0.0000 0.0000 0.0000  4 Rh 2.84
Pm 0.3245 0.3245 0.0000  1 Rh 2.76
Pm 0.6755 0.6755 0.0000  1 Rh 2.76
Rh 0.5000 0.5000 0.0000  6 Pm 2.76-2.84

Its symmetry is I4/mmm. For the excess energy over the best structure of this formula in the dataset, the calculation gives 7.80 kJ per mole of atoms. The calculation puts the energy relative to the elements at -0.306 eV/atom.



Entry 2:
Pm4Rh: optimized geometry, GGA-PBE.

a = 7.4621 Å, b = 7.4621 Å, c = 7.4621 Å
α = 108.49°, β = 108.49°, γ = 111.46°
Closest atoms and distances in Å follow each position.
Fractional positions:
Pm 0.0809 0.3848 0.2983  1 Rh 2.72
Pm 0.0864 0.7826 0.7017  1 Rh 2.72
Pm 0.1348 0.3309 0.7983  1 Rh 2.72
Pm 0.2174 0.9191 0.3038  1 Rh 2.72
Pm 0.5326 0.3364 0.2017  1 Rh 2.72
Pm 0.6152 0.9136 0.6962  1 Rh 2.72
Pm 0.6636 0.8652 0.1962  1 Rh 2.72
Pm 0.6691 0.4674 0.8038  1 Rh 2.72
Rh 0.0000 0.0000 0.0000  4 Pm 2.72
Rh 0.7500 0.2500 0.5000  4 Pm 2.72

Its symmetry is I-42d. For the excess energy over the best structure of this formula in the dataset, the calculation gives 0.00 kJ per mole of atoms. The calculation puts the energy relative to the elements at -0.304 eV/atom.



Entry 3:
PmRh6: optimized geometry, GGA-PBE.

a = 8.5192 Å, b = 5.2356 Å, c = 10.4900 Å
α = 90.00°, β = 90.00°, γ = 90.00°
Closest atoms and distances in Å follow each position.
Fractional positions:
Pm 0.2423 0.2500 0.0605  10 Rh 2.93-3.27
Pm 0.2577 0.7500 0.5605  10 Rh 2.93-3.27
Pm 0.7423 0.2500 0.4395  10 Rh 2.93-3.27
Pm 0.7577 0.7500 0.9395  10 Rh 2.93-3.27
Rh 0.0608 0.7500 0.0834  6 Rh 2.61-2.90
Rh 0.0615 0.0055 0.3066  9 Rh 2.56-2.79
Rh 0.0615 0.4945 0.3066  9 Rh 2.56-2.79
Rh 0.1105 0.2500 0.5192  7 Rh 2.61-2.88
Rh 0.1512 0.7500 0.8446  8 Rh 2.62-2.79
Rh 0.1837 0.2500 0.7661  8 Rh 2.58-2.76
Rh 0.3163 0.7500 0.2661  8 Rh 2.58-2.76
Rh 0.3488 0.2500 0.3446  8 Rh 2.62-2.79
Rh 0.3895 0.7500 0.0192  7 Rh 2.61-2.88
Rh 0.4385 0.5055 0.8066  9 Rh 2.56-2.79
Rh 0.4385 0.9945 0.8066  9 Rh 2.56-2.79
Rh 0.4392 0.2500 0.5834  6 Rh 2.61-2.90
Rh 0.5608 0.7500 0.4166  6 Rh 2.61-2.90
Rh 0.5615 0.0055 0.1934  9 Rh 2.56-2.79
Rh 0.5615 0.4945 0.1934  9 Rh 2.56-2.79
Rh 0.6105 0.2500 0.9808  7 Rh 2.61-2.88
Rh 0.6512 0.7500 0.6554  8 Rh 2.62-2.79
Rh 0.6837 0.2500 0.7339  8 Rh 2.58-2.76
Rh 0.8163 0.7500 0.2339  8 Rh 2.58-2.76
Rh 0.8488 0.2500 0.1554  8 Rh 2.62-2.79
Rh 0.8895 0.7500 0.4808  7 Rh 2.61-2.88
Rh 0.9385 0.5055 0.6934  9 Rh 2.56-2.79
Rh 0.9385 0.9945 0.6934  9 Rh 2.56-2.79
Rh 0.9392 0.2500 0.9166  6 Rh 2.61-2.90

Its symmetry is Pnma. For the excess energy over the best structure of this formula in the dataset, the calculation gives 0.00 kJ per mole of atoms. The calculation puts the energy relative to the elements at -0.200 eV/atom.



Entry 4:
Pm3Rh: optimized geometry, GGA-PBE.

a = 6.4005 Å, b = 6.4005 Å, c = 6.4005 Å
α = 146.09°, β = 63.18°, γ = 128.42°
Closest atoms and distances in Å follow each position.
Fractional positions:
Pm 0.0000 0.0000 0.0000  4 Rh 3.21-3.50, 4 Pm 3.52-3.53
Pm 0.3034 0.5012 0.8023  2 Rh 2.86
Pm 0.6989 0.5012 0.1977  2 Rh 2.86
Rh 0.5317 0.0317 0.5000  4 Pm 2.86

Its symmetry is Imm2. For the excess energy over the best structure of this formula in the dataset, the calculation gives 3.83 kJ per mole of atoms. The calculation puts the energy relative to the elements at -0.347 eV/atom.



Entry 5:
Pm3Rh: optimized geometry, GGA-PBE.

a = 3.5355 Å, b = 3.7079 Å, c = 9.3534 Å
α = 90.00°, β = 90.00°, γ = 90.00°
Closest atoms and distances in Å follow each position.
Fractional positions:
Pm 0.0000 0.0000 0.0000  10 Pm 3.54-3.71
Pm 0.0000 0.5000 0.3408  4 Rh 2.90
Pm 0.5000 0.5000 0.7133  2 Rh 2.82
Rh 0.5000 0.0000 0.4860  6 Pm 2.82-2.90

Its symmetry is Pmm2. For the excess energy over the best structure of this formula in the dataset, the calculation gives 22.96 kJ per mole of atoms. The calculation puts the energy relative to the elements at -0.149 eV/atom.



Entry 6:
Pm2Rh: optimized geometry, GGA-PBE.

a = 6.9873 Å, b = 6.9843 Å, c = 3.5464 Å
α = 75.34°, β = 75.25°, γ = 29.41°
Closest atoms and distances in Å follow each position.
Fractional positions:
Pm 0.1280 0.1280 0.8720  4 Rh 3.01-3.02, 1 Pm 3.34
Pm 0.8720 0.8720 0.1280  4 Rh 3.01-3.02, 1 Pm 3.34
Rh 0.5000 0.5000 0.5000  8 Pm 3.01-3.02

Its symmetry is Fmmm. For the excess energy over the best structure of this formula in the dataset, the calculation gives 9.31 kJ per mole of atoms. The calculation puts the energy relative to the elements at -0.441 eV/atom.



Entry 7:
Pm2Rh: optimized geometry, GGA-PBE.

a = 6.5720 Å, b = 6.5720 Å, c = 8.3769 Å
α = 123.46°, β = 123.46°, γ = 33.90°
Closest atoms and distances in Å follow each position.
Fractional positions:
Pm 0.0838 0.0838 0.3885  4 Rh 3.01
Pm 0.3313 0.3313 0.9214  3 Rh 2.86-2.92
Pm 0.6687 0.6687 0.0786  3 Rh 2.86-2.92
Pm 0.9162 0.9162 0.6115  4 Rh 3.01
Rh 0.3723 0.3723 0.3019  7 Pm 2.86-3.01, 1 Rh 3.01
Rh 0.6277 0.6277 0.6981  7 Pm 2.86-3.01, 1 Rh 3.01

Its symmetry is C2/m. For the excess energy over the best structure of this formula in the dataset, the calculation gives 0.00 kJ per mole of atoms. The calculation puts the energy relative to the elements at -0.537 eV/atom.



Entry 8:
PmRh3: optimized geometry, GGA-PBE.

a = 5.3093 Å, b = 5.3163 Å, c = 9.3478 Å
α = 73.56°, β = 89.88°, γ = 60.08°
Closest atoms and distances in Å follow each position.
Fractional positions:
Pm 0.0000 0.0000 0.0000  6 Rh 3.05-3.09
Pm 0.1381 0.7227 0.4165  12 Rh 3.05-3.38, 2 Pm 3.40
Pm 0.8619 0.2773 0.5835  12 Rh 3.05-3.38, 2 Pm 3.40
Rh 0.0815 0.3364 0.2467  7 Rh 2.65-2.72
Rh 0.3288 0.3388 0.9983  6 Rh 2.64-2.67
Rh 0.4190 0.6638 0.7547  7 Rh 2.64-2.72
Rh 0.4206 0.1608 0.7561  7 Rh 2.65-2.73
Rh 0.5000 0.0000 0.5000  6 Rh 2.72-2.73
Rh 0.5794 0.8392 0.2439  7 Rh 2.65-2.73
Rh 0.5810 0.3362 0.2453  7 Rh 2.64-2.72
Rh 0.6712 0.6612 0.0017  6 Rh 2.64-2.67
Rh 0.9185 0.6636 0.7533  7 Rh 2.65-2.72

Its symmetry is P-1. The calculation puts the energy relative to the elements at -0.519 eV/atom.



Entry 9:
Pm3Rh: optimized geometry, GGA-PBE.

a = 11.8966 Å, b = 11.8966 Å, c = 6.4562 Å
α = 90.00°, β = 90.00°, γ = 90.00°
Closest atoms and distances in Å follow each position.
Fractional positions:
Pm 0.0357 0.5925 0.1995  2 Rh 2.82-2.87
Pm 0.0925 0.9643 0.6995  2 Rh 2.82-2.87
Pm 0.1146 0.6698 0.6946  1 Rh 3.06
Pm 0.1196 0.1902 0.0189  3 Rh 2.84-3.17
Pm 0.1698 0.8854 0.1946  1 Rh 3.06
Pm 0.1902 0.3804 0.4811  3 Rh 2.84-3.17
Pm 0.3098 0.1196 0.4811  3 Rh 2.84-3.17
Pm 0.3302 0.6146 0.1946  1 Rh 3.06
Pm 0.3804 0.3098 0.0189  3 Rh 2.84-3.17
Pm 0.3854 0.8302 0.6946  1 Rh 3.06
Pm 0.4075 0.5357 0.6995  2 Rh 2.82-2.87
Pm 0.4643 0.9075 0.1995  2 Rh 2.82-2.87
Pm 0.5357 0.0925 0.8005  2 Rh 2.82-2.87
Pm 0.5925 0.4643 0.3005  2 Rh 2.82-2.87
Pm 0.6146 0.1698 0.3054  1 Rh 3.06
Pm 0.6196 0.6902 0.9811  3 Rh 2.84-3.17
Pm 0.6698 0.3854 0.8054  1 Rh 3.06
Pm 0.6902 0.8804 0.5189  3 Rh 2.84-3.17
Pm 0.8098 0.6196 0.5189  3 Rh 2.84-3.17
Pm 0.8302 0.1146 0.8054  1 Rh 3.06
Pm 0.8804 0.8098 0.9811  3 Rh 2.84-3.17
Pm 0.8854 0.3302 0.3054  1 Rh 3.06
Pm 0.9075 0.0357 0.3005  2 Rh 2.82-2.87
Pm 0.9643 0.4075 0.8005  2 Rh 2.82-2.87
Rh 0.0643 0.1779 0.4987  5 Pm 2.82-3.06
Rh 0.1779 0.4357 0.0013  5 Pm 2.82-3.06
Rh 0.3221 0.0643 0.0013  5 Pm 2.82-3.06
Rh 0.4357 0.3221 0.4987  5 Pm 2.82-3.06
Rh 0.5643 0.6779 0.5013  5 Pm 2.82-3.06
Rh 0.6779 0.9357 0.9987  5 Pm 2.82-3.06
Rh 0.8221 0.5643 0.9987  5 Pm 2.82-3.06
Rh 0.9357 0.8221 0.5013  5 Pm 2.82-3.06

Its symmetry is P4_2/n. For the excess energy over the best structure of this formula in the dataset, the calculation gives 0.95 kJ per mole of atoms. The calculation puts the energy relative to the elements at -0.377 eV/atom.



Entry 10:
Pm5Rh4: optimized geometry, GGA-PBE.

a = 5.8455 Å, b = 5.8455 Å, c = 10.6886 Å
α = 106.91°, β = 106.91°, γ = 39.61°
Closest atoms and distances in Å follow each position.
Fractional positions:
Pm 0.0000 0.0000 0.0000  4 Rh 2.82
Pm 0.1110 0.1110 0.3976  7 Rh 2.98-3.19
Pm 0.2246 0.2246 0.8022  5 Rh 2.85-3.14
Pm 0.7754 0.7754 0.1978  5 Rh 2.85-3.14
Pm 0.8890 0.8890 0.6024  7 Rh 2.98-3.19
Rh 0.3825 0.3825 0.3926  2 Rh 2.83-2.88, 5 Pm 2.85-3.00
Rh 0.4932 0.4932 0.1860  7 Pm 2.82-3.14, 1 Rh 2.83
Rh 0.5068 0.5068 0.8141  7 Pm 2.82-3.14, 1 Rh 2.83
Rh 0.6175 0.6175 0.6074  2 Rh 2.83-2.88, 5 Pm 2.85-3.00

Its symmetry is C2/m. For the excess energy over the best structure of this formula in the dataset, the calculation gives 0.00 kJ per mole of atoms. The calculation puts the energy relative to the elements at -0.655 eV/atom.



Entry 11:
Pm5Rh2: optimized geometry, GGA-PBE.

a = 9.0090 Å, b = 9.0090 Å, c = 7.2761 Å
α = 96.66°, β = 96.66°, γ = 42.63°
Closest atoms and distances in Å follow each position.
Fractional positions:
Pm 0.0738 0.9262 0.7500  4 Rh 2.96-2.99
Pm 0.1438 0.2893 0.3132  2 Rh 2.89-2.92
Pm 0.2893 0.1438 0.8132  2 Rh 2.89-2.92
Pm 0.2988 0.5119 0.0803  2 Rh 2.84-2.89
Pm 0.4881 0.7012 0.4197  2 Rh 2.84-2.89
Pm 0.5119 0.2988 0.5803  2 Rh 2.84-2.89
Pm 0.7012 0.4881 0.9197  2 Rh 2.84-2.89
Pm 0.7107 0.8562 0.1868  2 Rh 2.89-2.92
Pm 0.8562 0.7107 0.6868  2 Rh 2.89-2.92
Pm 0.9262 0.0738 0.2500  4 Rh 2.96-2.99
Rh 0.0902 0.6871 0.4232  6 Pm 2.84-2.99
Rh 0.3129 0.9098 0.0768  6 Pm 2.84-2.99
Rh 0.6871 0.0902 0.9232  6 Pm 2.84-2.99
Rh 0.9098 0.3129 0.5768  6 Pm 2.84-2.99

Its symmetry is C2/c. The calculation puts the energy relative to the elements at -0.503 eV/atom.



Entry 12:
PmRh2: optimized geometry, GGA-PBE.

a = 5.4000 Å, b = 5.4000 Å, c = 5.4000 Å
α = 60.00°, β = 60.00°, γ = 60.00°
Closest atoms and distances in Å follow each position.
Fractional positions:
Pm 0.1250 0.1250 0.1250  12 Rh 3.17, 4 Pm 3.31
Pm 0.8750 0.8750 0.8750  12 Rh 3.17, 4 Pm 3.31
Rh 0.0000 0.5000 0.5000  6 Rh 2.70
Rh 0.5000 0.0000 0.5000  6 Rh 2.70
Rh 0.5000 0.5000 0.0000  6 Rh 2.70
Rh 0.5000 0.5000 0.5000  6 Rh 2.70

Its symmetry is Fd-3m. For the excess energy over the best structure of this formula in the dataset, the calculation gives 0.00 kJ per mole of atoms. The calculation puts the energy relative to the elements at -0.677 eV/atom.



no.,density of states at the Fermi level (states/eV per cell),M_tot (μB/cell)
1,4.5,0.005
2,11.6,0.000
3,43.3,0.001
4,3.8,0.000
5,4.5,0.000
6,3.3,0.000
7,6.5,0.000
8,13.4,0.000
9,32.5,0.000
10,4.1,0.000
11,14.8,0.000
12,3.8,0.000